Crystalline NaTe2SeI at its relaxed geometry, computed with GGA-PBE.

D(E_F) = 1.245 states/eV/atom
E above lowest polymorph = 0 meV/atom
E_form (uncorrected) = -0.47 kcal/mol of atoms
Energy = -12.739 eV per formula unit
SG = P4/mmm

a = 5.594 Å, b = 5.594 Å, c = 5.868 Å
α = 90.00°, β = 90.00°, γ = 90.00°
Positions (direct):
Na 0.000 0.000 0.000
Te 0.000 0.500 0.500
Te 0.500 0.000 0.500
Se 0.500 0.500 0.500
I 0.500 0.500 0.000